The following is a GGA+U calculation of an optimized crystal structure of LiTiNi2O4, from the Alexandria database.

Output
Size of the total moment (μB per atom): 0.375
Density of states at the Fermi level (states/eV per cell): 0.1
Raw total energy (eV/atom): -6.131

Geometry as CIF:
```
data_LiTiNi2O4
_chemical_formula_sum 'Li1 Ti1 Ni2 O4'
_cell_length_a 5.100
_cell_length_b 3.034
_cell_length_c 5.146
_cell_angle_alpha 90.00
_cell_angle_beta 104.29
_cell_angle_gamma 90.00
_symmetry_space_group_name_H-M 'P 1 2/m 1'
_symmetry_Int_Tables_number 10
_symmetry_space_group_name_Hall '-P 2y'
loop_
_atom_site_label
_atom_site_fract_x
_atom_site_fract_y
_atom_site_fract_z
_atom_site_occupancy
Li1 0.000 0.000 0.000 1
Ti1 0.000 0.500 0.500 1
Ni1 0.500 0.000 0.500 1
Ni2 0.500 0.500 0.000 1
O1 0.205 0.000 0.714 1
O2 0.257 0.500 0.273 1
```

The following is a GGA+U calculation of an optimized crystal structure of HfNiP2O, from the Alexandria database.

Output
Size of the total moment (μB per atom): 0.012
Density of states at the Fermi level (states/eV per cell): 5.1
Raw total energy (eV/atom): -5.505

Geometry as CIF:
```
data_HfNiP2O
_chemical_formula_sum 'Hf1 Ni1 P2 O1'
_cell_length_a 5.106
_cell_length_b 5.106
_cell_length_c 3.877
_cell_angle_alpha 90.00
_cell_angle_beta 90.00
_cell_angle_gamma 90.00
_symmetry_space_group_name_H-M 'P 4/m m m'
_symmetry_Int_Tables_number 123
_symmetry_space_group_name_Hall '-P 4 2'
loop_
_atom_site_label
_atom_site_fract_x
_atom_site_fract_y
_atom_site_fract_z
_atom_site_occupancy
Hf1 0.000 0.000 0.000 1
Ni1 0.500 0.500 0.500 1
P1 0.000 0.500 0.000 1
O1 0.000 0.000 0.500 1
```